1.
Density functional theory data (PBE-GGA) for KGa2B after structural relaxation.

Calculated values
The calculation puts the formation energy from the elements at 0.37 eV/atom.

Cell: 6.692 6.692 6.642 Å, 59.75 59.75 90.00°
Sites, in units of the cell vectors:
Ga (0.375, 0.625, 0.750)
Ga (0.875, 0.625, 0.750)
Ga (0.375, 0.125, 0.250)
Ga (0.375, 0.625, 0.250)
K (0.000, 0.000, 0.000)
K (0.750, 0.250, 0.500)
B (0.500, 0.500, 0.000)
B (0.250, 0.750, 0.500)

=====

2.
Density functional theory data (PBE-GGA) for ZrSc2GaN after structural relaxation.

Calculated values
The raw formation energy comes out at -1.07 eV per atom.

Cell: 4.374 4.374 4.476 Å, 90.00 90.00 90.00°
Sites, in units of the cell vectors:
Sc (0.000, 0.500, 0.000)
Sc (0.500, 0.000, 0.000)
Zr (0.000, 0.000, 0.500)
N (0.000, 0.000, 0.000)
Ga (0.500, 0.500, 0.500)

=====

3.
Density functional theory data (PBE-GGA) for YP2Au after structural relaxation.

Calculated values
The calculation puts the excess energy over the best structure of this formula in the dataset at 259 meV/atom. The calculation puts the formation energy from the elements at -0.47 eV/atom.

Cell: 5.653 5.653 5.653 Å, 139.50 139.50 58.61°
Sites, in units of the cell vectors:
Au (0.750, 0.250, 0.500)
Y (0.500, 0.500, 0.000)
P (0.000, 0.000, 0.000)
P (0.250, 0.750, 0.500)